P:
A relaxed structure of V3CdO, computed with PBE+U.

a b c (Å): 5.1788 5.1788 5.1788
angles (deg): 90.00 90.00 90.00
Fractional positions:
V  0.0000  0.0000  0.5000
V  0.0000  0.5000  0.0000
V  0.5000  0.0000  0.0000
Cd  0.0000  0.0000  0.0000
O  0.5000  0.5000  0.5000

The calculation puts the magnetic moment at 9.446 μB per formula unit. The value obtained for the density of states at the Fermi level is 3.7 states/eV/f.u.

Q:
A relaxed structure of V3CdO, computed with PBE+U.

a b c (Å): 4.3547 4.3547 4.3547
angles (deg): 90.00 90.00 90.00
Fractional positions:
V  0.0000  0.0000  0.5000
V  0.0000  0.5000  0.0000
V  0.5000  0.0000  0.0000
Cd  0.5000  0.5000  0.5000
O  0.0000  0.0000  0.0000

The calculation puts the magnetic moment at 9.028 μB per formula unit. The value obtained for the density of states at the Fermi level is 2.6 states/eV/f.u.

In terms of stability, Q leads; the second structure lies 1984 meV/atom higher.

P:
A relaxed structure of V2CdO, computed with PBE+U.

a b c (Å): 4.5566 4.5566 4.5566
angles (deg): 60.00 60.00 60.00
Fractional positions:
V  0.2500  0.2500  0.2500
V  0.7500  0.7500  0.7500
Cd  0.0000  0.0000  0.0000
O  0.5000  0.5000  0.5000

The calculation puts the magnetic moment at 6.922 μB per formula unit. The value obtained for the density of states at the Fermi level is 2.5 states/eV/f.u.

Q:
A relaxed structure of V2CdO, computed with PBE+U.

a b c (Å): 5.7688 5.7688 5.7688
angles (deg): 113.65 113.65 101.40
Fractional positions:
V  0.0039  0.6250  0.8789
V  0.3750  0.2539  0.3789
V  0.7461  0.1250  0.1211
V  0.8750  0.9961  0.6211
Cd  0.2500  0.7500  0.5000
Cd  0.5000  0.5000  0.0000
O  0.0000  0.0000  0.0000
O  0.7500  0.2500  0.5000

The calculation puts the magnetic moment at 5.991 μB per formula unit. The value obtained for the density of states at the Fermi level is 1.4 states/eV/f.u.

In terms of stability, Q leads; the second structure lies 1063 meV/atom higher.

P:
A relaxed structure of VCd2O2, computed with PBE+U.

a b c (Å): 5.4765 5.4765 5.2163
angles (deg): 90.00 90.00 90.00
Fractional positions:
V  0.0000  0.0000  0.0000
V  0.5000  0.5000  0.0000
Cd  0.1825  0.3175  0.5000
Cd  0.3175  0.8175  0.5000
Cd  0.6825  0.1825  0.5000
Cd  0.8175  0.6825  0.5000
O  0.2380  0.2620  0.0000
O  0.2620  0.7620  0.0000
O  0.7380  0.2380  0.0000
O  0.7620  0.7380  0.0000

The calculation puts the magnetic moment at 1.494 μB per formula unit. The value obtained for the density of states at the Fermi level is 0.9 states/eV/f.u.

Q:
A relaxed structure of VCd2O2, computed with PBE+U.

a b c (Å): 6.0129 6.0129 6.0129
angles (deg): 140.12 140.12 57.68
Fractional positions:
V  0.0000  0.0000  0.0000
Cd  0.2500  0.7500  0.5000
Cd  0.7500  0.2500  0.5000
O  0.3562  0.3562  0.0000
O  0.6438  0.6438  0.0000

The calculation puts the magnetic moment at 4.157 μB per formula unit. The value obtained for the density of states at the Fermi level is 1.2 states/eV/f.u.

In terms of stability, P leads; the second structure lies 868 meV/atom higher.

P:
A relaxed structure of VCd2O4, computed with PBE+U.

a b c (Å): 6.2626 6.2626 6.2626
angles (deg): 143.10 143.10 53.17
Fractional positions:
V  0.0000  0.0000  0.0000
Cd  0.3594  0.3594  0.0000
Cd  0.6406  0.6406  0.0000
O  0.0000  0.5000  0.5000
O  0.1679  0.1679  0.0000
O  0.5000  0.0000  0.5000
O  0.8321  0.8321  0.0000

The calculation puts the magnetic moment at 0.990 μB per formula unit. The value obtained for the density of states at the Fermi level is 0.5 states/eV/f.u.

Q:
A relaxed structure of VCd2O4, computed with PBE+U.

a b c (Å): 5.7107 5.7107 5.7399
angles (deg): 117.91 117.91 32.29
Fractional positions:
V  0.0000  0.0000  0.0000
Cd  0.3167  0.3167  0.3156
Cd  0.6833  0.6833  0.6844
O  0.1041  0.1041  0.3705
O  0.3779  0.3779  0.0026
O  0.6221  0.6221  0.9974
O  0.8959  0.8959  0.6295

The calculation puts the magnetic moment at 0.997 μB per formula unit. The value obtained for the density of states at the Fermi level is 0.0 states/eV/f.u.

R:
A relaxed structure of VCd2O4, computed with PBE+U.

a b c (Å): 6.5604 6.5604 8.7130
angles (deg): 90.00 90.00 90.00
Fractional positions:
V  0.0000  0.2413  0.0000
V  0.0000  0.7587  0.5000
V  0.2413  0.0000  0.7500
V  0.7587  0.0000  0.2500
Cd  0.2376  0.5000  0.7500
Cd  0.2541  0.2541  0.3750
Cd  0.2541  0.7459  0.1250
Cd  0.5000  0.2376  0.0000
Cd  0.5000  0.7624  0.5000
Cd  0.7459  0.2541  0.6250
Cd  0.7459  0.7459  0.8750
Cd  0.7624  0.5000  0.2500
O  0.0143  0.2160  0.7786
O  0.0143  0.7840  0.7214
O  0.2160  0.0143  0.9714
O  0.2160  0.9857  0.5286
O  0.2178  0.4418  0.0177
O  0.2178  0.5582  0.4823
O  0.4418  0.2178  0.7323
O  0.4418  0.7822  0.7677
O  0.5582  0.2178  0.2677
O  0.5582  0.7822  0.2323
O  0.7822  0.4418  0.9823
O  0.7822  0.5582  0.5177
O  0.7840  0.0143  0.0286
O  0.7840  0.9857  0.4714
O  0.9857  0.2160  0.2214
O  0.9857  0.7840  0.2786

The calculation puts the magnetic moment at 1.000 μB per formula unit.

In terms of stability, R leads; the second structure lies 55 meV/atom higher.